1.
Here is a geometry-optimized BaLaSm2 structure from Alexandria via LeMat-Bulk. Energies are from PBE.

* D(E_F): 1.95 states/eV per atom
* volume: 156 Å³/f.u.
* formation enthalpy at 0 K: 0.20 eV/atom
* magnetic moment: 0.000 μB per atom
* E: -3.8718 eV/atom
* energy relative to the lowest polymorph listed for this composition: 0.0737 eV/atom

Cell: 5.3042 5.4203 5.4203 Å, 90.00 90.00 90.00°
Last column: nearest neighbours and their distance in Å.
Sites, in units of the cell vectors:
1 La 0.5000 0.5000 0.5000  8 Sm 3.79, 4 Ba 3.83
2 Sm 0.0000 0.0000 0.5000  4 Ba 3.79, 4 La 3.79, 4 Sm 3.83
3 Sm 0.0000 0.5000 0.0000  4 Ba 3.79, 4 La 3.79, 4 Sm 3.83
4 Ba 0.5000 0.0000 0.0000  8 Sm 3.79, 4 La 3.83

2.
Here is a geometry-optimized BaLaSm2 structure from Alexandria via LeMat-Bulk. Energies are from PBE.

* D(E_F): 1.87 states/eV per atom
* volume: 157 Å³/f.u.
* formation enthalpy at 0 K: 0.21 eV/atom
* magnetic moment: 0.000 μB per atom
* E: -3.8670 eV/atom
* energy relative to the lowest polymorph listed for this composition: 0.0785 eV/atom

Cell: 3.7082 3.7082 13.3416 Å, 82.01 82.01 60.00°
Last column: nearest neighbours and their distance in Å.
Sites, in units of the cell vectors:
1 Sm 0.9075 0.9075 0.2776  3 La 3.63, 1 Ba 3.66, 6 Sm 3.71
2 Sm 0.0925 0.0925 0.7224  3 La 3.63, 1 Ba 3.66, 6 Sm 3.71
3 La 0.5000 0.5000 0.5000  6 Sm 3.63, 6 La 3.71
4 Ba 0.0000 0.0000 0.0000  2 Sm 3.66, 6 Ba 3.71

3.
Here is a geometry-optimized BaLaSm2 structure from Alexandria via LeMat-Bulk. Energies are from PBE.

* D(E_F): 1.85 states/eV per atom
* volume: 158 Å³/f.u.
* formation enthalpy at 0 K: 0.13 eV/atom
* magnetic moment: 0.000 μB per atom
* E: -3.9455 eV/atom
* energy relative to the lowest polymorph listed for this composition: 0.0000 eV/atom

Cell: 3.7946 3.7946 10.9782 Å, 90.00 90.00 90.00°
Last column: nearest neighbours and their distance in Å.
Sites, in units of the cell vectors:
1 Ba 0.5000 0.5000 0.5000  4 Ba 3.79, 8 Sm 4.06
2 Sm 0.0000 0.0000 0.7780  4 La 3.62, 4 Sm 3.79
3 Sm 0.0000 0.0000 0.2220  4 La 3.62, 4 Sm 3.79
4 La 0.5000 0.5000 0.0000  8 Sm 3.62, 4 La 3.79

4.
Here is a geometry-optimized BaLa14Sm structure from Alexandria via LeMat-Bulk. Energies are from PBE.

* D(E_F): 1.63 states/eV per atom
* volume: 594 Å³/f.u.
* formation enthalpy at 0 K: 0.04 eV/atom
* magnetic moment: 0.000 μB per atom
* E: -4.6848 eV/atom

Cell: 7.5009 7.5009 10.5560 Å, 90.00 90.00 90.00°
Last column: nearest neighbours and their distance in Å.
Sites, in units of the cell vectors:
1 La 0.6161 0.1339 0.7559  10 La 3.62-3.88, 1 Sm 3.72, 1 Ba 3.85
2 La 0.1339 0.6161 0.2441  10 La 3.62-3.88, 1 Sm 3.72, 1 Ba 3.85
3 La 0.3750 0.8750 0.0000  12 La 3.70-3.75
4 La 0.6161 0.6161 0.2441  10 La 3.62-3.88, 1 Sm 3.72, 1 Ba 3.85
5 La 0.1340 0.1340 0.2441  10 La 3.62-3.88, 1 Sm 3.72, 1 Ba 3.85
6 La 0.8750 0.3750 0.0000  12 La 3.70-3.75
7 La 0.6161 0.6161 0.7559  10 La 3.62-3.88, 1 Sm 3.72, 1 Ba 3.85
8 La 0.3750 0.3750 0.0000  12 La 3.63-3.75
9 La 0.1340 0.1340 0.7559  10 La 3.62-3.88, 1 Sm 3.72, 1 Ba 3.85
10 La 0.6161 0.1339 0.2441  10 La 3.62-3.88, 1 Sm 3.72, 1 Ba 3.85
11 La 0.1339 0.6161 0.7559  10 La 3.62-3.88, 1 Sm 3.72, 1 Ba 3.85
12 La 0.8750 0.8750 0.0000  12 La 3.75-3.77
13 La 0.3750 0.8750 0.5000  2 Sm 3.75, 2 Ba 3.75, 8 La 3.79
14 La 0.8750 0.3750 0.5000  2 Sm 3.75, 2 Ba 3.75, 8 La 3.79
15 Ba 0.8750 0.8750 0.5000  12 La 3.75-3.85
16 Sm 0.3750 0.3750 0.5000  12 La 3.72-3.75

5.
Here is a geometry-optimized Ba3LaSm2Te6 structure from Alexandria via LeMat-Bulk. Energies are from PBE.

* D(E_F): 0.49 states/eV per atom
* volume: 446 Å³/f.u.
* magnetic moment: 0.000 μB per atom
* E: -4.8424 eV/atom
* raw formation energy: -154 kJ per mole of atoms

Cell: 8.0803 8.0803 8.3381 Å, 99.31 99.31 119.93°
Last column: nearest neighbours and their distance in Å.
Sites, in units of the cell vectors:
1 Ba 0.5000 0.5000 0.5000  6 Te 3.44-3.48
2 Ba 0.8353 0.1647 0.5000  6 Te 3.45-3.48
3 Ba 0.1647 0.8353 0.5000  6 Te 3.45-3.48
4 Te 0.5865 0.9253 0.7760  2 Sm 3.20-3.21, 1 La 3.26, 3 Ba 3.45-3.48
5 Te 0.9253 0.5865 0.7760  2 Sm 3.20-3.21, 1 La 3.26, 3 Ba 3.45-3.48
6 Te 0.0747 0.4135 0.2240  2 Sm 3.20-3.21, 1 La 3.26, 3 Ba 3.45-3.48
7 Te 0.4135 0.0747 0.2240  2 Sm 3.20-3.21, 1 La 3.26, 3 Ba 3.45-3.48
8 Te 0.2648 0.2648 0.7779  2 Sm 3.20, 1 La 3.25, 3 Ba 3.44-3.47
9 Te 0.7352 0.7352 0.2221  2 Sm 3.20, 1 La 3.25, 3 Ba 3.44-3.47
10 La 0.0000 0.0000 0.0000  6 Te 3.25-3.26
11 Sm 0.6669 0.3331 0.0000  6 Te 3.20-3.21
12 Sm 0.3331 0.6669 0.0000  6 Te 3.20-3.21

6.
Here is a geometry-optimized Ba3La3SmTe8 structure from Alexandria via LeMat-Bulk. Energies are from PBE.

* D(E_F): 0.33 states/eV per atom
* volume: 606 Å³/f.u.
* magnetic moment: 0.000 μB per atom
* E: -4.9943 eV/atom
* raw formation energy: -158 kJ per mole of atoms

Cell: 9.3222 9.3181 9.6793 Å, 118.77 90.01 119.98°
Last column: nearest neighbours and their distance in Å.
Sites, in units of the cell vectors:
1 La 0.5000 0.5000 0.5000  6 Te 3.25-3.26
2 La 0.0000 0.5000 0.5000  6 Te 3.25-3.26
3 La 0.5000 0.0000 0.5000  6 Te 3.25-3.26
4 Ba 0.5000 0.5000 0.0000  6 Te 3.46-3.48
5 Ba 0.0000 0.5000 0.0000  6 Te 3.46-3.48
6 Ba 0.0000 0.0000 0.0000  6 Te 3.46-3.48
7 Te 0.7614 0.5227 0.2776  1 Sm 3.20, 2 La 3.25, 2 Ba 3.48
8 Te 0.7613 0.0162 0.2775  1 Sm 3.20, 2 La 3.25, 2 Ba 3.48
9 Te 0.7452 0.9838 0.7225  1 Sm 3.20, 2 La 3.25, 2 Ba 3.48
10 Te 0.2386 0.4773 0.7224  1 Sm 3.20, 2 La 3.25, 2 Ba 3.48
11 Te 0.7431 0.4860 0.7291  3 La 3.26, 3 Ba 3.46
12 Te 0.2387 0.9838 0.7225  1 Sm 3.20, 2 La 3.25, 2 Ba 3.48
13 Te 0.2548 0.0162 0.2775  1 Sm 3.20, 2 La 3.25, 2 Ba 3.48
14 Te 0.2569 0.5140 0.2709  3 La 3.26, 3 Ba 3.46
15 Sm 0.0000 0.0000 0.5000  6 Te 3.20

7.
Here is a geometry-optimized BaLa3Sm2Te6 structure from Alexandria via LeMat-Bulk. Energies are from PBE.

* D(E_F): 0.55 states/eV per atom
* volume: 412 Å³/f.u.
* magnetic moment: 0.000 μB per atom
* E: -5.2723 eV/atom
* raw formation energy: -147 kJ per mole of atoms

Cell: 4.5758 9.2508 10.2559 Å, 102.89 102.89 90.00°
Last column: nearest neighbours and their distance in Å.
Sites, in units of the cell vectors:
1 Te 0.6730 0.0928 0.3461  3 La 3.20-3.34, 2 Sm 3.25, 1 Ba 3.37
2 Te 0.3325 0.4218 0.6651  3 Sm 3.16-3.18, 3 La 3.26
3 Te 0.6675 0.5782 0.3349  3 Sm 3.16-3.18, 3 La 3.26
4 Te 0.9941 0.7355 0.9883  3 La 3.18-3.28, 1 Sm 3.20, 2 Ba 3.33
5 Te 0.3270 0.9072 0.6539  3 La 3.20-3.34, 2 Sm 3.25, 1 Ba 3.37
6 Te 0.0059 0.2645 0.0117  3 La 3.18-3.28, 1 Sm 3.20, 2 Ba 3.33
7 Sm 0.8299 0.6588 0.6599  6 Te 3.16-3.25
8 Sm 0.1701 0.3412 0.3401  6 Te 3.16-3.25
9 La 0.5000 0.5000 0.0000  6 Te 3.18-3.26
10 La 0.1625 0.8261 0.3250  6 Te 3.20-3.34
11 La 0.8375 0.1739 0.6750  6 Te 3.20-3.34
12 Ba 0.5000 0.0000 0.0000  6 Te 3.33-3.37

8.
Here is a geometry-optimized Ba4La3SmTe8 structure from Alexandria via LeMat-Bulk. Energies are from PBE.

* D(E_F): 0.47 states/eV per atom
* volume: 607 Å³/f.u.
* magnetic moment: 0.000 μB per atom
* E: -4.9056 eV/atom
* raw formation energy: -158 kJ per mole of atoms

Cell: 9.4087 9.6040 9.4089 Å, 119.33 120.00 90.00°
Last column: nearest neighbours and their distance in Å.
Sites, in units of the cell vectors:
1 Te 0.2534 0.2745 0.0139  1 Sm 3.22, 2 La 3.27, 3 Ba 3.46-3.51
2 Te 0.2396 0.7256 0.4792  1 Sm 3.22, 2 La 3.27, 3 Ba 3.46-3.51
3 Te 0.7429 0.7286 0.4857  3 La 3.26, 3 Ba 3.46
4 Te 0.2395 0.7255 0.9861  1 Sm 3.22, 2 La 3.27, 3 Ba 3.46-3.51
5 Te 0.2571 0.2714 0.5143  3 La 3.26, 3 Ba 3.46
6 Te 0.7466 0.7255 0.9861  1 Sm 3.22, 2 La 3.27, 3 Ba 3.46-3.51
7 Te 0.7605 0.2745 0.0139  1 Sm 3.22, 2 La 3.27, 3 Ba 3.46-3.51
8 Te 0.7604 0.2744 0.5208  1 Sm 3.22, 2 La 3.27, 3 Ba 3.46-3.51
9 Sm 0.0000 0.5000 0.0000  6 Te 3.22
10 Ba 0.0000 0.0000 0.0000  6 Te 3.46
11 Ba 0.5000 0.0000 0.0000  6 Te 3.51
12 Ba 0.5000 0.0000 0.5000  6 Te 3.46
13 Ba 0.0000 0.0000 0.5000  6 Te 3.46
14 La 0.5000 0.5000 0.5000  6 Te 3.26-3.27
15 La 0.0000 0.5000 0.5000  6 Te 3.26-3.27
16 La 0.5000 0.5000 0.0000  6 Te 3.26-3.27